Li3BeCd, relaxed, DFT PBE-GGA; space-group type = Pm-3m (221); raw total energy = -1.395 eV/atom; calculated formation energy = 681 meV per atom; total magnetic moment = 0.000 μB/cell; energy relative to the lowest polymorph listed for this composition = 0.325 eV/atom
1.0
4.901 0.000 0.000
0.000 4.901 0.000
0.000 0.000 4.901
Li Be Cd
3 1 1
Direct
0.000 0.000 0.500
0.000 0.500 0.000
0.500 0.000 0.000
0.500 0.500 0.500
0.000 0.000 0.000



Cs2CeSm2S6, relaxed, DFT PBE-GGA; space-group type = C2/m (12); raw total energy = -5.640 eV/atom; energy relative to the elements, uncorrected = -1.84 eV/atom; total magnetic moment = 0.000 μB/cell
1.0
3.585 -6.194 0.000
3.585 6.194 0.000
-2.428 0.000 8.233
Cs Ce Sm S
2 1 2 6
Direct
0.169 0.831 0.000
0.831 0.169 0.000
0.000 0.000 0.500
0.334 0.666 0.500
0.666 0.334 0.500
0.059 0.386 0.678
0.263 0.263 0.322
0.386 0.059 0.678
0.614 0.941 0.322
0.737 0.737 0.678
0.941 0.614 0.322



SrAcBiPt, relaxed, DFT PBE-GGA; space-group type = F-43m (216); raw total energy = -4.738 eV/atom; calculated formation energy = -810 meV per atom; total magnetic moment = 0.000 μB/cell
1.0
0.000 3.958 3.958
3.958 0.000 3.958
3.958 3.958 0.000
Sr Ac Bi Pt
1 1 1 1
Direct
0.000 0.000 0.000
0.500 0.500 0.500
0.250 0.250 0.250
0.750 0.750 0.750



ScZnPO2, relaxed, DFT PBE-GGA; space-group type = P4/mmm (123); raw total energy = -4.884 eV/atom; energy relative to the elements, uncorrected = -0.30 eV/atom; total magnetic moment = 0.000 μB/cell; energy relative to the lowest polymorph listed for this composition = 0.614 eV/atom
1.0
3.682 0.000 0.000
0.000 3.682 0.000
0.000 0.000 6.903
Sc Zn P O
1 1 1 2
Direct
0.000 0.000 0.000
0.000 0.000 0.500
0.500 0.500 0.000
0.000 0.500 0.500
0.500 0.000 0.500



Tb8Pm3Er2, relaxed, DFT PBE-GGA; space-group type = C2/m (12); raw total energy = -4.629 eV/atom; calculated formation energy = 18 meV per atom; total magnetic moment = 0.000 μB/cell; energy relative to the lowest polymorph listed for this composition = 0.000 eV/atom
1.0
10.408 -2.526 0.000
10.408 2.526 0.000
-0.609 0.000 7.969
Tb Pm Er
8 3 2
Direct
0.078 0.078 0.115
0.156 0.156 0.730
0.307 0.307 0.962
0.383 0.383 0.578
0.617 0.617 0.422
0.693 0.693 0.038
0.844 0.844 0.270
0.922 0.922 0.885
0.000 0.000 0.500
0.461 0.461 0.193
0.539 0.539 0.807
0.231 0.231 0.346
0.769 0.769 0.654



Ac2Pm5Tl4, relaxed, DFT PBE-GGA; space-group type = C2/m (12); raw total energy = -3.766 eV/atom; calculated formation energy = 1 meV per atom; total magnetic moment = 0.000 μB/cell
1.0
12.026 -1.865 0.000
12.026 1.865 0.000
-2.046 0.000 8.353
Ac Pm Tl
2 5 4
Direct
0.232 0.232 0.302
0.768 0.768 0.698
0.000 0.000 0.500
0.334 0.334 0.068
0.379 0.379 0.534
0.621 0.621 0.466
0.666 0.666 0.932
0.087 0.087 0.130
0.476 0.476 0.178
0.524 0.524 0.822
0.913 0.913 0.870



Sr2TaH2O6, relaxed, DFT PBE-GGA; space-group type = R-3m (166); raw total energy = -6.698 eV/atom; total magnetic moment = 1.000 μB/cell
1.0
2.632 1.520 5.208
-2.632 1.520 5.208
0.000 -3.039 5.208
Sr Ta H O
2 1 2 6
Direct
0.229 0.229 0.229
0.771 0.771 0.771
0.000 0.000 0.000
0.414 0.414 0.414
0.586 0.586 0.586
0.252 0.252 0.728
0.252 0.728 0.252
0.272 0.748 0.748
0.728 0.252 0.252
0.748 0.272 0.748
0.748 0.748 0.272



BaTcS2, relaxed, DFT PBE-GGA; space-group type = P1 (1); raw total energy = -6.230 eV/atom; energy relative to the elements, uncorrected = -1.09 eV/atom; total magnetic moment = 0.030 μB/cell; energy relative to the lowest polymorph listed for this composition = 0.023 eV/atom
1.0
4.515 0.000 0.000
-1.715 7.465 0.000
-1.131 -1.220 7.508
Ba Tc S
2 2 4
Direct
0.000 0.000 0.000
0.298 0.509 0.429
0.012 0.536 0.866
0.588 0.448 0.981
0.187 0.288 0.751
0.420 0.704 0.091
0.653 0.259 0.197
0.929 0.723 0.655



PuAg2Pd6, relaxed, DFT PBE-GGA; space-group type = C2/c (15); raw total energy = -5.808 eV/atom; calculated formation energy = -120 meV per atom; total magnetic moment = 9.724 μB/cell
1.0
7.153 -3.904 0.000
7.153 3.904 0.000
-1.066 0.000 5.582
Pu Ag Pd
2 4 12
Direct
0.010 0.990 0.750
0.990 0.010 0.250
0.347 0.349 0.677
0.349 0.347 0.177
0.651 0.653 0.823
0.653 0.651 0.323
0.002 0.652 0.413
0.002 0.653 0.915
0.327 0.673 0.003
0.327 0.673 0.497
0.347 0.998 0.585
0.348 0.998 0.087
0.652 0.002 0.913
0.653 0.002 0.415
0.673 0.327 0.503
0.673 0.327 0.997
0.998 0.347 0.085
0.998 0.348 0.587



Nd3Y7Ho, relaxed, DFT PBE-GGA; space-group type = P2/m (10); raw total energy = -5.689 eV/atom; calculated formation energy = 141 meV per atom; total magnetic moment = 0.000 μB/cell; energy relative to the lowest polymorph listed for this composition = 0.000 eV/atom
1.0
6.958 0.000 0.000
0.000 5.562 0.000
-3.230 0.000 9.577
Nd Y Ho
3 7 1
Direct
0.000 0.000 0.000
0.280 0.500 0.494
0.720 0.500 0.506
0.000 0.000 0.500
0.151 0.500 0.787
0.318 0.500 0.134
0.428 0.000 0.329
0.572 0.000 0.671
0.682 0.500 0.866
0.849 0.500 0.213
0.500 0.000 0.000



Sr2GeCl, relaxed, DFT PBE-GGA; space-group type = R-3m (166); raw total energy = -3.628 eV/atom; energy relative to the elements, uncorrected = -1.17 eV/atom; total magnetic moment = 0.000 μB/cell; energy relative to the lowest polymorph listed for this composition = 0.049 eV/atom
1.0
2.202 1.271 7.714
-2.202 1.271 7.714
0.000 -2.543 7.714
Sr Ge Cl
2 1 1
Direct
0.246 0.246 0.246
0.754 0.754 0.754
0.500 0.500 0.500
0.000 0.000 0.000



Repeat the eighth record exactly.
BaTcS2, relaxed, DFT PBE-GGA; space-group type = P1 (1); raw total energy = -6.230 eV/atom; energy relative to the elements, uncorrected = -1.09 eV/atom; total magnetic moment = 0.030 μB/cell; energy relative to the lowest polymorph listed for this composition = 0.023 eV/atom
1.0
4.515 0.000 0.000
-1.715 7.465 0.000
-1.131 -1.220 7.508
Ba Tc S
2 2 4
Direct
0.000 0.000 0.000
0.298 0.509 0.429
0.012 0.536 0.866
0.588 0.448 0.981
0.187 0.288 0.751
0.420 0.704 0.091
0.653 0.259 0.197
0.929 0.723 0.655



raw total energy of number 2 (Cs2CeSm2S6)?
-5.640 eV/atom



Which of these has the lowest raw total energy?
Sr2TaH2O6